Entry 1:
! meta-GGA SCAN CaMnN2O, PBEsol geometry; values from VASP
&SYSTEM
  ibrav = 0, nat = 5, ntyp = 4
/
ATOMIC_SPECIES
O 16.00 O.upf
Mn 54.94 Mn.upf
Ca 40.08 Ca.upf
N 14.01 N.upf
CELL_PARAMETERS angstrom
3.546 0.000 0.000
0.000 3.546 0.000
0.000 0.000 4.112
ATOMIC_POSITIONS angstrom
O 0.000 0.000 2.056
Mn 0.000 0.000 0.000
Ca 1.773 1.773 2.056
N 0.000 1.773 0.000
N 1.773 0.000 0.000
! Uncorrected formation energy   -0.89 eV per atom
! Crystal system   tetragonal

---

Entry 2:
! meta-GGA SCAN Ge3Os2, PBEsol geometry; values from VASP
&SYSTEM
  ibrav = 0, nat = 20, ntyp = 2
/
ATOMIC_SPECIES
Ge 72.64 Ge.upf
Os 190.23 Os.upf
CELL_PARAMETERS angstrom
5.758 0.000 0.000
0.000 5.758 0.000
0.000 0.000 9.255
ATOMIC_POSITIONS angstrom
Ge 4.776 0.981 2.314
Ge 0.981 4.776 2.314
Os 2.879 0.000 5.785
Os 2.879 2.879 2.314
Ge 4.507 3.736 0.785
Os 0.000 2.879 3.470
Os 2.879 0.000 1.157
Ge 3.736 4.507 3.842
Ge 2.021 1.250 3.842
Os 2.879 2.879 6.941
Ge 4.507 2.021 5.413
Ge 0.981 0.981 6.941
Os 0.000 0.000 0.000
Ge 2.021 4.507 8.470
Os 0.000 0.000 4.628
Ge 1.250 3.736 5.413
Ge 4.776 4.776 6.941
Os 0.000 2.879 8.098
Ge 1.250 2.021 0.785
Ge 3.736 1.250 8.470
! Relative energy among the computed polymorphs   12 meV per atom
! Energy relative to the elements   -130 meV/atom
! Crystal system   tetragonal

---

Entry 3:
! meta-GGA SCAN CdIr2, PBEsol geometry; values from VASP
&SYSTEM
  ibrav = 0, nat = 3, ntyp = 2
/
ATOMIC_SPECIES
Ir 192.22 Ir.upf
Cd 112.41 Cd.upf
CELL_PARAMETERS angstrom
-0.296 -1.157 -2.490
3.662 0.803 -0.808
-0.430 -3.819 3.357
ATOMIC_POSITIONS angstrom
Ir 0.784 -2.501 1.069
Cd 0.000 0.000 0.000
Ir 2.152 -1.672 -1.010
! Energy relative to the elements   320 meV/atom
! Crystal system   orthorhombic

---

Entry 4:
! meta-GGA SCAN CeCoGe, PBEsol geometry; values from VASP
&SYSTEM
  ibrav = 0, nat = 6, ntyp = 3
/
ATOMIC_SPECIES
Ce 140.12 Ce.upf
Co 58.93 Co.upf
Ge 72.64 Ge.upf
CELL_PARAMETERS angstrom
-1.210 2.598 -2.918
-1.649 -3.108 -2.084
-5.666 0.896 3.148
ATOMIC_POSITIONS angstrom
Ce -2.371 1.578 -0.478
Co 0.000 0.000 0.000
Ce -4.725 -0.937 1.125
Ge -1.933 -1.379 -0.426
Ge -5.163 2.020 1.073
Co -1.430 -0.255 -2.501
! Energy relative to the elements   -596 meV/atom
! Crystal system   tetragonal

---

Entry 5:
! meta-GGA SCAN Ho2HfS5, PBEsol geometry; values from VASP
&SYSTEM
  ibrav = 0, nat = 32, ntyp = 3
/
ATOMIC_SPECIES
Ho 164.93 Ho.upf
S 32.06 S.upf
Hf 178.49 Hf.upf
CELL_PARAMETERS angstrom
7.124 0.000 0.000
0.000 7.610 0.000
0.000 0.000 11.325
ATOMIC_POSITIONS angstrom
Ho 3.390 7.588 3.640
S 1.198 1.902 3.607
S 2.210 5.707 8.959
S 3.202 5.707 5.697
S 6.764 1.902 11.290
S 1.160 3.511 6.721
S 2.364 1.902 9.270
S 1.160 0.294 6.721
Ho 3.734 0.021 7.686
Ho 0.172 7.588 9.302
S 2.402 3.511 1.058
S 4.914 1.902 2.366
S 3.922 1.902 5.628
S 4.722 7.316 10.267
S 5.926 5.707 7.718
S 5.964 7.316 4.604
S 1.352 5.707 3.297
Ho 3.390 3.826 3.640
Hf 4.113 1.902 11.253
S 4.760 5.707 2.055
S 5.772 1.902 8.028
Ho 6.952 0.021 2.023
Ho 0.172 3.826 9.302
S 5.964 4.098 4.604
S 0.360 5.707 0.035
S 2.402 0.294 1.058
S 4.722 4.098 10.267
Hf 0.551 5.707 5.734
Ho 6.952 3.783 2.023
Hf 3.011 5.707 0.072
Hf 6.573 1.902 5.591
Ho 3.734 3.783 7.686
! Uncorrected formation energy   -2.12 eV per atom
! Crystal system   orthorhombic

---

Entry 6:
! meta-GGA SCAN TeRhSe, PBEsol geometry; values from VASP
&SYSTEM
  ibrav = 0, nat = 3, ntyp = 3
/
ATOMIC_SPECIES
Rh 102.91 Rh.upf
Se 78.96 Se.upf
Te 127.60 Te.upf
CELL_PARAMETERS angstrom
3.769 0.000 0.000
-1.885 3.264 0.000
0.000 0.000 5.083
ATOMIC_POSITIONS angstrom
Rh 0.000 0.000 5.017
Se 0.000 2.176 3.781
Te 1.885 1.088 1.368
! Relative energy among the computed polymorphs   0 meV per atom
! Uncorrected formation energy   -0.45 eV per atom
! Crystal system   trigonal

---

Entry 7:
! meta-GGA SCAN FeSb3Br, PBEsol geometry; values from VASP
&SYSTEM
  ibrav = 0, nat = 5, ntyp = 3
/
ATOMIC_SPECIES
Br 79.90 Br.upf
Sb 121.76 Sb.upf
Fe 55.84 Fe.upf
CELL_PARAMETERS angstrom
4.951 0.000 0.000
0.000 4.951 0.000
0.000 0.000 4.951
ATOMIC_POSITIONS angstrom
Br 2.476 2.476 2.476
Sb 2.476 0.000 0.000
Fe 0.000 0.000 0.000
Sb 0.000 0.000 2.476
Sb 0.000 2.476 0.000
! Uncorrected formation energy   0.31 eV per atom
! Crystal system   cubic

---

Entry 8:
! meta-GGA SCAN LaTaBiAu2, PBEsol geometry; values from VASP
&SYSTEM
  ibrav = 0, nat = 5, ntyp = 4
/
ATOMIC_SPECIES
Bi 208.98 Bi.upf
Ta 180.95 Ta.upf
Au 196.97 Au.upf
La 138.91 La.upf
CELL_PARAMETERS angstrom
5.217 0.000 0.000
0.000 5.217 0.000
0.000 0.000 5.300
ATOMIC_POSITIONS angstrom
Bi 0.000 0.000 0.000
Ta 0.000 0.000 2.650
Au 2.608 0.000 0.000
La 2.608 2.608 2.650
Au 0.000 2.608 0.000
! Energy relative to the elements   745 meV/atom
! Crystal system   tetragonal

---

Entry 9:
! meta-GGA SCAN AlCdSi4, PBEsol geometry; values from VASP
&SYSTEM
  ibrav = 0, nat = 6, ntyp = 3
/
ATOMIC_SPECIES
Si 28.09 Si.upf
Al 26.98 Al.upf
Cd 112.41 Cd.upf
CELL_PARAMETERS angstrom
-3.836 1.205 -3.261
-4.793 0.752 1.807
-2.033 4.761 0.041
ATOMIC_POSITIONS angstrom
Si -6.391 2.897 0.370
Si -5.016 4.894 -0.510
Si -4.003 2.522 -0.531
Al -7.997 5.038 -1.060
Si -5.914 3.122 -2.155
Cd 0.000 0.000 0.000
! Uncorrected formation energy   0.57 eV per atom
! Crystal system   cubic

---

Entry 10:
! meta-GGA SCAN Pr3Se3N, PBEsol geometry; values from VASP
&SYSTEM
  ibrav = 0, nat = 28, ntyp = 3
/
ATOMIC_SPECIES
Se 78.96 Se.upf
N 14.01 N.upf
Pr 140.91 Pr.upf
CELL_PARAMETERS angstrom
4.136 0.000 0.000
0.000 12.682 0.000
0.000 0.000 13.367
ATOMIC_POSITIONS angstrom
Se 1.034 7.429 8.144
Se 3.102 8.076 13.344
N 1.034 0.616 3.976
N 3.102 5.725 10.660
Pr 1.034 6.786 11.319
Se 1.034 4.606 0.023
Se 3.102 9.278 4.068
Pr 1.034 0.445 8.731
Se 1.034 3.404 9.299
Pr 3.102 5.320 8.412
Pr 3.102 11.661 11.639
Pr 1.034 1.021 1.728
Se 1.034 9.745 10.751
Pr 1.034 7.362 4.955
N 3.102 12.066 9.390
Se 3.102 11.594 1.460
Se 3.102 2.937 2.616
Pr 1.034 2.764 4.899
Pr 3.102 12.237 4.635
Pr 3.102 5.896 2.048
Pr 3.102 3.577 11.582
Pr 1.034 9.105 1.785
Se 3.102 1.735 6.706
Se 3.102 5.253 5.223
Se 1.034 10.947 6.661
N 1.034 6.957 2.707
Se 1.034 1.088 11.906
Pr 3.102 9.918 8.468
! Uncorrected formation energy   -2.06 eV per atom
! Crystal system   orthorhombic

---

Entry 11:
! meta-GGA SCAN CaZrSeN2, PBEsol geometry; values from VASP
&SYSTEM
  ibrav = 0, nat = 5, ntyp = 4
/
ATOMIC_SPECIES
N 14.01 N.upf
Se 78.96 Se.upf
Ca 40.08 Ca.upf
Zr 91.22 Zr.upf
CELL_PARAMETERS angstrom
-3.025 -0.920 -2.591
-1.521 -2.649 2.717
-2.901 3.766 2.049
ATOMIC_POSITIONS angstrom
N -0.761 -1.325 1.358
Se -1.450 1.883 1.024
Ca 0.000 0.000 0.000
Zr -3.724 0.098 1.087
N -1.513 -0.460 -1.296
! Uncorrected formation energy   0.84 eV per atom
! Crystal system   tetragonal

---

Entry 12:
! meta-GGA SCAN TaP7, PBEsol geometry; values from VASP
&SYSTEM
  ibrav = 0, nat = 8, ntyp = 2
/
ATOMIC_SPECIES
Ta 180.95 Ta.upf
P 30.97 P.upf
CELL_PARAMETERS angstrom
5.420 0.000 0.000
2.710 4.694 0.000
2.710 1.565 4.425
ATOMIC_POSITIONS angstrom
Ta 0.000 0.000 0.000
P 4.065 0.782 2.213
P 1.355 0.782 2.213
P 4.065 2.347 0.000
P 5.420 3.129 2.213
P 2.710 0.000 0.000
P 1.355 2.347 0.000
P 2.710 3.129 2.213
! Energy relative to the elements   726 meV/atom
! Crystal system   cubic